one | Computed, not measured: a geometry-optimized Cs2InAs structure at the PBE-GGA level of DFT.

Geometry as POSCAR:
```
Cs2InAs
1.0
11.9313 0.0000 0.0000
0.0000 8.1113 0.0000
-0.5553 0.0000 8.7429
Cs In As
8 4 4
Direct
0.1339 0.1491 0.3231
0.1339 0.3509 0.8231
0.3468 0.6511 0.4871
0.3468 0.8489 0.9871
0.6532 0.1511 0.0129
0.6532 0.3489 0.5129
0.8661 0.6491 0.1769
0.8661 0.8509 0.6769
0.3861 0.1075 0.6298
0.3861 0.3925 0.1298
0.6139 0.6075 0.8702
0.6139 0.8925 0.3702
0.4309 0.1131 0.3176
0.4309 0.3869 0.8176
0.5691 0.6131 0.1824
0.5691 0.8869 0.6824
```

## Properties
total magnetic moment = 0.0 μB per formula unit
crystal system = monoclinic

two | Computed, not measured: a geometry-optimized Cs2InAs structure at the PBE-GGA level of DFT.

Geometry as POSCAR:
```
Cs2InAs
1.0
4.4094 0.0000 0.0000
0.0000 2.9071 7.0732
0.0000 -2.9071 7.0732
Cs In As
2 1 1
Direct
0.0000 0.0000 0.0000
0.5000 0.3027 0.3027
0.5000 0.6088 0.6088
0.0000 0.7255 0.7255
```

## Properties
total magnetic moment = 0.0 μB per formula unit
crystal system = orthorhombic

We find two to be the most stable, with the next structure 55 meV/atom higher.

one | Computed, not measured: a geometry-optimized Cs2In2As structure at the PBE-GGA level of DFT.

Geometry as POSCAR:
```
Cs2In2As
1.0
6.5878 -4.0385 0.0000
6.5878 4.0385 0.0000
-2.6926 0.0000 7.6396
Cs In As
4 4 2
Direct
0.1020 0.2398 0.1306
0.2398 0.1020 0.6306
0.7602 0.8980 0.3694
0.8980 0.7602 0.8694
0.2946 0.5463 0.5553
0.4537 0.7054 0.9447
0.5463 0.2946 0.0553
0.7054 0.4537 0.4447
0.3263 0.6737 0.2500
0.6737 0.3263 0.7500
```

## Properties
total magnetic moment = 0.0 μB per formula unit
crystal system = monoclinic

two | Computed, not measured: a geometry-optimized Cs2In2As structure at the PBE-GGA level of DFT.

Geometry as POSCAR:
```
Cs2In2As
1.0
7.7292 0.0000 0.0000
0.0000 7.7292 0.0000
0.0000 0.0000 6.4036
Cs In As
4 4 2
Direct
0.1888 0.3112 0.0000
0.3112 0.8112 0.0000
0.6888 0.1888 0.0000
0.8112 0.6888 0.0000
0.1351 0.6351 0.5000
0.3649 0.1351 0.5000
0.6351 0.8649 0.5000
0.8649 0.3649 0.5000
0.0000 0.0000 0.5000
0.5000 0.5000 0.5000
```

## Properties
total magnetic moment = 0.0 μB per formula unit
crystal system = tetragonal

We find one to be the most stable, with the next structure 134 meV/atom higher.

one | Computed, not measured: a geometry-optimized CsInAs2Se structure at the PBE-GGA level of DFT.

Geometry as POSCAR:
```
CsInAs2Se
1.0
5.4173 0.0000 0.0000
0.0000 5.4173 0.0000
0.0000 0.0000 5.6411
Cs In As Se
1 1 2 1
Direct
0.0000 0.0000 0.0000
0.5000 0.5000 0.5000
0.0000 0.5000 0.5000
0.5000 0.0000 0.5000
0.5000 0.5000 0.0000
```

## Properties
total magnetic moment = 1.6 μB per formula unit
crystal system = tetragonal

two | Computed, not measured: a geometry-optimized CsInAs2Se structure at the PBE-GGA level of DFT.

Geometry as POSCAR:
```
CsInAs2Se
1.0
6.0019 0.0000 0.0000
0.0000 6.0019 0.0000
0.0000 0.0000 6.1273
Cs In As Se
1 1 2 1
Direct
0.0000 0.0000 0.0000
0.5000 0.5000 0.5000
0.0000 0.5000 0.0000
0.5000 0.0000 0.0000
0.0000 0.0000 0.5000
```

## Properties
total magnetic moment = 2.8 μB per formula unit
crystal system = tetragonal

We find one to be the most stable, with the next structure 1062 meV/atom higher.